# 1
# PBE MgHg2O, optimized geometry
data_MgHg2O
_chemical_formula_sum 'Mg4 Hg8 O4'
_cell_length_a 11.114
_cell_length_b 11.114
_cell_length_c 3.661
_cell_angle_alpha 90.00
_cell_angle_beta 90.00
_cell_angle_gamma 90.00
_space_group_name_H-M_alt 'I -4 2 d'
_space_group_IT_number 122
_space_group_name_Hall 'I -4 2bw'
loop_
_atom_site_label
_atom_site_fract_x
_atom_site_fract_y
_atom_site_fract_z
Mg1 0.000 0.000 0.000
Hg1 0.127 0.750 0.625
O1 0.000 0.000 0.500
# DFT total energy in eV/atom: -2.513
# Total magnetic moment in Bohr magnetons per cell: 0.00
# ΔE to the lowest computed polymorph in meV/atom: 0

=====

# 2
# PBE Ho2PaH, optimized geometry
data_Ho2PaH
_chemical_formula_sum 'Ho6 Pa3 H3'
_cell_length_a 3.2904
_cell_length_b 3.2904
_cell_length_c 27.6451
_cell_angle_alpha 90.00
_cell_angle_beta 90.00
_cell_angle_gamma 120.00
_space_group_name_H-M_alt 'R -3 m'
_space_group_IT_number 166
_space_group_name_Hall '-R 3 2"'
loop_
_atom_site_label
_atom_site_fract_x
_atom_site_fract_y
_atom_site_fract_z
Ho1 0.0000 0.0000 0.1163
Pa1 0.0000 0.0000 0.0000
H1 0.0000 0.0000 0.5000
# DFT total energy in eV/atom: -5.407
# Total magnetic moment in Bohr magnetons per cell: 0.00
# ΔE to the lowest computed polymorph in meV/atom: 0

=====

# 3
# PBE LiTcAg2, optimized geometry
data_LiTcAg2
_chemical_formula_sum 'Li4 Tc4 Ag8'
_cell_length_a 6.427
_cell_length_b 6.427
_cell_length_c 6.427
_cell_angle_alpha 90.00
_cell_angle_beta 90.00
_cell_angle_gamma 90.00
_space_group_name_H-M_alt 'F m -3 m'
_space_group_IT_number 225
_space_group_name_Hall '-F 4 2 3'
loop_
_atom_site_label
_atom_site_fract_x
_atom_site_fract_y
_atom_site_fract_z
Li1 0.000 0.000 0.000
Tc1 0.000 0.000 0.500
Ag1 0.250 0.250 0.250
# Formation energy from the elements in kJ/mol of atoms: 45.4
# DFT total energy in eV/atom: -4.025
# Total magnetic moment in Bohr magnetons per cell: 8.42
# ΔE to the lowest computed polymorph in meV/atom: 233

=====

# 4
# PBE K2FePt, optimized geometry
data_K2FePt
_chemical_formula_sum 'K2 Fe1 Pt1'
_cell_length_a 4.148
_cell_length_b 4.148
_cell_length_c 5.305
_cell_angle_alpha 90.00
_cell_angle_beta 90.00
_cell_angle_gamma 90.00
_space_group_name_H-M_alt 'P 4/m m m'
_space_group_IT_number 123
_space_group_name_Hall '-P 4 2'
loop_
_atom_site_label
_atom_site_fract_x
_atom_site_fract_y
_atom_site_fract_z
K1 0.000 0.500 0.000
Fe1 0.000 0.000 0.500
Pt1 0.500 0.500 0.500
# Formation energy from the elements in kJ/mol of atoms: 66.1
# DFT total energy in eV/atom: -3.489
# Total magnetic moment in Bohr magnetons per cell: 3.14
# ΔE to the lowest computed polymorph in meV/atom: 477

=====

# 5
# PBE CoOsAu2, optimized geometry
data_CoOsAu2
_chemical_formula_sum 'Co1 Os1 Au2'
_cell_length_a 2.771
_cell_length_b 2.771
_cell_length_c 7.944
_cell_angle_alpha 90.00
_cell_angle_beta 90.00
_cell_angle_gamma 90.00
_space_group_name_H-M_alt 'P 4 m m'
_space_group_IT_number 99
loop_
_space_group_symop_operation_xyz
'x,y,z'
'-y,x,z'
'-x,-y,z'
'y,-x,z'
'-x,y,z'
'y,x,z'
'x,-y,z'
'-y,-x,z'
loop_
_atom_site_label
_atom_site_fract_x
_atom_site_fract_y
_atom_site_fract_z
Co1 0.000 0.000 0.000
Os1 0.500 0.500 0.187
Au1 0.000 0.000 0.460
Au2 0.500 0.500 0.751
# Formation energy from the elements in kJ/mol of atoms: 26.2
# DFT total energy in eV/atom: -5.952
# Total magnetic moment in Bohr magnetons per cell: 0.03
# ΔE to the lowest computed polymorph in meV/atom: 0

=====

# 6
# PBE BaMn3Sb, optimized geometry
data_BaMn3Sb
_chemical_formula_sum 'Ba1 Mn3 Sb1'
_cell_length_a 5.130
_cell_length_b 5.130
_cell_length_c 5.130
_cell_angle_alpha 90.00
_cell_angle_beta 90.00
_cell_angle_gamma 90.00
_space_group_name_H-M_alt 'P m -3 m'
_space_group_IT_number 221
_space_group_name_Hall '-P 4 2 3'
loop_
_atom_site_label
_atom_site_fract_x
_atom_site_fract_y
_atom_site_fract_z
Ba1 0.000 0.000 0.000
Mn1 0.000 0.500 0.500
Sb1 0.500 0.500 0.500
# DFT total energy in eV/atom: -6.055
# Total magnetic moment in Bohr magnetons per cell: 10.14
# ΔE to the lowest computed polymorph in meV/atom: 0

=====

# 7
# PBE ErZr2NpN4, optimized geometry
data_ErZr2NpN4
_chemical_formula_sum 'Er2 Zr4 Np2 N8'
_cell_length_a 4.727
_cell_length_b 4.727
_cell_length_c 9.451
_cell_angle_alpha 90.00
_cell_angle_beta 90.00
_cell_angle_gamma 90.00
_space_group_name_H-M_alt 'I -4 m 2'
_space_group_IT_number 119
_space_group_name_Hall 'I -4 -2'
loop_
_atom_site_label
_atom_site_fract_x
_atom_site_fract_y
_atom_site_fract_z
Er1 0.000 0.000 0.000
Zr1 0.000 0.000 0.500
Zr2 0.000 0.500 0.250
Np1 0.000 0.500 0.750
N1 0.000 0.000 0.253
N2 0.000 0.500 0.501
# DFT total energy in eV/atom: -10.073
# Total magnetic moment in Bohr magnetons per cell: 5.82

=====

# 8
# PBE NaAcLa2, optimized geometry
data_NaAcLa2
_chemical_formula_sum 'Na1 Ac1 La2'
_cell_length_a 6.298
_cell_length_b 6.298
_cell_length_c 3.894
_cell_angle_alpha 90.00
_cell_angle_beta 90.00
_cell_angle_gamma 90.00
_space_group_name_H-M_alt 'P 4/m m m'
_space_group_IT_number 123
_space_group_name_Hall '-P 4 2'
loop_
_atom_site_label
_atom_site_fract_x
_atom_site_fract_y
_atom_site_fract_z
Na1 0.000 0.000 0.000
Ac1 0.500 0.500 0.000
La1 0.000 0.500 0.500
# Formation energy from the elements in kJ/mol of atoms: 17.2
# DFT total energy in eV/atom: -3.643
# Total magnetic moment in Bohr magnetons per cell: 0.00
# ΔE to the lowest computed polymorph in meV/atom: 81

=====

# 9
# PBE Sn2PdI2, optimized geometry
data_Sn2PdI2
_chemical_formula_sum 'Sn4 Pd2 I4'
_cell_length_a 4.139
_cell_length_b 4.139
_cell_length_c 18.093
_cell_angle_alpha 90.00
_cell_angle_beta 90.00
_cell_angle_gamma 90.00
_space_group_name_H-M_alt 'I 4/m m m'
_space_group_IT_number 139
_space_group_name_Hall '-I 4 2'
loop_
_atom_site_label
_atom_site_fract_x
_atom_site_fract_y
_atom_site_fract_z
Sn1 0.000 0.500 0.250
Pd1 0.000 0.000 0.000
I1 0.000 0.000 0.404
# DFT total energy in eV/atom: -2.977
# Total magnetic moment in Bohr magnetons per cell: 0.00
# ΔE to the lowest computed polymorph in meV/atom: 157

=====

# 10
# PBE ZrAgBi2, optimized geometry
data_ZrAgBi2
_chemical_formula_sum 'Zr4 Ag4 Bi8'
_cell_length_a 8.095
_cell_length_b 8.095
_cell_length_c 6.563
_cell_angle_alpha 90.00
_cell_angle_beta 90.00
_cell_angle_gamma 90.00
_space_group_name_H-M_alt 'I -4 2 d'
_space_group_IT_number 122
_space_group_name_Hall 'I -4 2bw'
loop_
_atom_site_label
_atom_site_fract_x
_atom_site_fract_y
_atom_site_fract_z
Zr1 0.000 0.000 0.000
Ag1 0.000 0.000 0.500
Bi1 0.235 0.250 0.625
# Formation energy from the elements in kJ/mol of atoms: 18.8
# DFT total energy in eV/atom: -4.596
# Total magnetic moment in Bohr magnetons per cell: 2.16

=====

# 11
# PBE LaCdCl, optimized geometry
data_LaCdCl
_chemical_formula_sum 'La4 Cd4 Cl4'
_cell_length_a 7.329
_cell_length_b 7.329
_cell_length_c 7.329
_cell_angle_alpha 90.00
_cell_angle_beta 90.00
_cell_angle_gamma 90.00
_space_group_name_H-M_alt 'F -4 3 m'
_space_group_IT_number 216
_space_group_name_Hall 'F -4 2 3'
loop_
_atom_site_label
_atom_site_fract_x
_atom_site_fract_y
_atom_site_fract_z
La1 0.000 0.000 0.000
Cd1 0.250 0.250 0.250
Cl1 0.000 0.000 0.500
# DFT total energy in eV/atom: -2.852
# Total magnetic moment in Bohr magnetons per cell: 0.00
# ΔE to the lowest computed polymorph in meV/atom: 679

=====

# 12
# PBE PaFe3SiB, optimized geometry
data_PaFe3SiB
_chemical_formula_sum 'Pa4 Fe12 Si4 B4'
_cell_length_a 5.148
_cell_length_b 10.828
_cell_length_c 5.655
_cell_angle_alpha 90.00
_cell_angle_beta 90.00
_cell_angle_gamma 90.00
_space_group_name_H-M_alt 'C m c m'
_space_group_IT_number 63
_space_group_name_Hall '-C 2c 2'
loop_
_atom_site_label
_atom_site_fract_x
_atom_site_fract_y
_atom_site_fract_z
Pa1 0.000 0.224 0.250
Fe1 0.000 0.332 0.750
Fe2 0.249 0.000 0.000
Si1 0.000 0.123 0.750
B1 0.000 0.474 0.250
# DFT total energy in eV/atom: -8.199
# Total magnetic moment in Bohr magnetons per cell: 8.25

=====

# 13
# PBE FeMoRh2, optimized geometry
data_FeMoRh2
_chemical_formula_sum 'Fe2 Mo2 Rh4'
_cell_length_a 4.125
_cell_length_b 2.730
_cell_length_c 10.026
_cell_angle_alpha 90.00
_cell_angle_beta 90.00
_cell_angle_gamma 90.00
_space_group_name_H-M_alt 'A m m 2'
_space_group_IT_number 38
loop_
_space_group_symop_operation_xyz
'x,y,z'
'-x,-y,z'
'-x,y,z'
'x,-y,z'
'x,y+1/2,z+1/2'
'-x,-y+1/2,z+1/2'
'-x,y+1/2,z+1/2'
'x,-y+1/2,z+1/2'
loop_
_atom_site_label
_atom_site_fract_x
_atom_site_fract_y
_atom_site_fract_z
Fe1 0.000 0.000 0.000
Mo1 0.500 0.000 0.137
Rh1 0.000 0.000 0.742
Rh2 0.500 0.000 0.402
# Formation energy from the elements in kJ/mol of atoms: -0.8
# DFT total energy in eV/atom: -8.508
# Total magnetic moment in Bohr magnetons per cell: 4.35
# ΔE to the lowest computed polymorph in meV/atom: 135

=====

# 14
# PBE HoPuTi, optimized geometry
data_HoPuTi
_chemical_formula_sum 'Ho8 Pu8 Ti8'
_cell_length_a 11.209
_cell_length_b 11.209
_cell_length_c 4.770
_cell_angle_alpha 90.00
_cell_angle_beta 90.00
_cell_angle_gamma 90.00
_space_group_name_H-M_alt 'I 4/m m m'
_space_group_IT_number 139
_space_group_name_Hall '-I 4 2'
loop_
_atom_site_label
_atom_site_fract_x
_atom_site_fract_y
_atom_site_fract_z
Ho1 0.167 0.167 0.000
Pu1 0.000 0.375 0.000
Ti1 0.000 0.245 0.500
# Formation energy from the elements in kJ/mol of atoms: 43.5
# DFT total energy in eV/atom: -8.484
# Total magnetic moment in Bohr magnetons per cell: 33.24
# ΔE to the lowest computed polymorph in meV/atom: 245

=====

# 15
# PBE ZrZnSb2I, optimized geometry
data_ZrZnSb2I
_chemical_formula_sum 'Zr1 Zn1 Sb2 I1'
_cell_length_a 5.097
_cell_length_b 5.097
_cell_length_c 5.596
_cell_angle_alpha 90.00
_cell_angle_beta 90.00
_cell_angle_gamma 90.00
_space_group_name_H-M_alt 'P 4/m m m'
_space_group_IT_number 123
_space_group_name_Hall '-P 4 2'
loop_
_atom_site_label
_atom_site_fract_x
_atom_site_fract_y
_atom_site_fract_z
Zr1 0.000 0.000 0.000
Zn1 0.500 0.500 0.500
Sb1 0.000 0.500 0.500
I1 0.500 0.500 0.000
# DFT total energy in eV/atom: -3.322
# Total magnetic moment in Bohr magnetons per cell: 0.93
# ΔE to the lowest computed polymorph in meV/atom: 394

=====

# 16
# PBE CaReSi2, optimized geometry
data_CaReSi2
_chemical_formula_sum 'Ca4 Re4 Si8'
_cell_length_a 6.399
_cell_length_b 6.399
_cell_length_c 6.399
_cell_angle_alpha 90.00
_cell_angle_beta 90.00
_cell_angle_gamma 90.00
_space_group_name_H-M_alt 'F -4 3 m'
_space_group_IT_number 216
_space_group_name_Hall 'F -4 2 3'
loop_
_atom_site_label
_atom_site_fract_x
_atom_site_fract_y
_atom_site_fract_z
Ca1 0.000 0.000 0.000
Re1 0.250 0.250 0.750
Si1 0.000 0.000 0.500
Si2 0.250 0.250 0.250
# DFT total energy in eV/atom: -5.683
# Total magnetic moment in Bohr magnetons per cell: 0.00

=====

# 17
# PBE Pu2MnSi, optimized geometry
data_Pu2MnSi
_chemical_formula_sum 'Pu2 Mn1 Si1'
_cell_length_a 3.705
_cell_length_b 3.705
_cell_length_c 5.580
_cell_angle_alpha 90.00
_cell_angle_beta 90.00
_cell_angle_gamma 90.00
_space_group_name_H-M_alt 'P 4/m m m'
_space_group_IT_number 123
_space_group_name_Hall '-P 4 2'
loop_
_atom_site_label
_atom_site_fract_x
_atom_site_fract_y
_atom_site_fract_z
Pu1 0.000 0.000 0.242
Mn1 0.500 0.500 0.500
Si1 0.500 0.500 0.000
# DFT total energy in eV/atom: -11.037
# Total magnetic moment in Bohr magnetons per cell: 7.52

=====

# 18
# PBE PmDyCd14, optimized geometry
data_PmDyCd14
_chemical_formula_sum 'Pm1 Dy1 Cd14'
_cell_length_a 6.641
_cell_length_b 6.641
_cell_length_c 8.483
_cell_angle_alpha 90.00
_cell_angle_beta 90.00
_cell_angle_gamma 90.00
_space_group_name_H-M_alt 'P 4/m m m'
_space_group_IT_number 123
_space_group_name_Hall '-P 4 2'
loop_
_atom_site_label
_atom_site_fract_x
_atom_site_fract_y
_atom_site_fract_z
Pm1 0.000 0.000 0.000
Dy1 0.500 0.500 0.000
Cd1 0.000 0.000 0.500
Cd2 0.000 0.500 0.000
Cd3 0.000 0.500 0.500
Cd4 0.252 0.252 0.260
Cd5 0.500 0.500 0.500
# Formation energy from the elements in kJ/mol of atoms: -13.9
# DFT total energy in eV/atom: -1.529
# Total magnetic moment in Bohr magnetons per cell: 0.00

=====

# 19
# PBE AgGeAu2, optimized geometry
data_AgGeAu2
_chemical_formula_sum 'Ag2 Ge2 Au4'
_cell_length_a 2.862
_cell_length_b 4.844
_cell_length_c 11.189
_cell_angle_alpha 90.00
_cell_angle_beta 90.00
_cell_angle_gamma 90.00
_space_group_name_H-M_alt 'I m m m'
_space_group_IT_number 71
_space_group_name_Hall '-I 2 2'
loop_
_atom_site_label
_atom_site_fract_x
_atom_site_fract_y
_atom_site_fract_z
Ag1 0.000 0.000 0.000
Ge1 0.000 0.000 0.500
Au1 0.000 0.000 0.260
# Formation energy from the elements in kJ/mol of atoms: 12.1
# DFT total energy in eV/atom: -3.380
# Total magnetic moment in Bohr magnetons per cell: 0.00

=====

# 20
# PBE CuBi3S, optimized geometry
data_CuBi3S
_chemical_formula_sum 'Cu1 Bi3 S1'
_cell_length_a 5.372
_cell_length_b 5.372
_cell_length_c 5.372
_cell_angle_alpha 90.00
_cell_angle_beta 90.00
_cell_angle_gamma 90.00
_space_group_name_H-M_alt 'P m -3 m'
_space_group_IT_number 221
_space_group_name_Hall '-P 4 2 3'
loop_
_atom_site_label
_atom_site_fract_x
_atom_site_fract_y
_atom_site_fract_z
Cu1 0.000 0.000 0.000
Bi1 0.000 0.500 0.500
S1 0.500 0.500 0.500
# DFT total energy in eV/atom: -3.239
# Total magnetic moment in Bohr magnetons per cell: 0.00
# ΔE to the lowest computed polymorph in meV/atom: 150